No. 1
Here is an optimized crystal structure of LiCaGdTl from Alexandria via LeMat-Bulk. Energies are from PBE.

Unit cell a=5.388 b=5.388 c=5.388 alpha=60.00 beta=60.00 gamma=60.00
Atoms (fractional coordinates):
Li (0.000, 0.000, 0.000)
Ca (0.250, 0.250, 0.250)
Gd (0.750, 0.750, 0.750)
Tl (0.500, 0.500, 0.500)

Space-group type: F-43m, No. 216
Uncorrected energy in eV per cell: -21.3
N(E_F) in states/eV/atom: 1.19
Total magnetic moment in μB/atom: 1.83
Energy relative to the elements in eV per formula unit: -0.940

=====

No. 2
Here is an optimized crystal structure of LiCaGdZn from Alexandria via LeMat-Bulk. Energies are from PBE.

Unit cell a=5.226 b=5.226 c=5.226 alpha=60.00 beta=60.00 gamma=60.00
Atoms (fractional coordinates):
Li (0.000, 0.000, 0.000)
Ca (0.250, 0.250, 0.250)
Gd (0.750, 0.750, 0.750)
Zn (0.500, 0.500, 0.500)

Space-group type: F-43m, No. 216
Uncorrected energy in eV per cell: -19.7
N(E_F) in states/eV/atom: 0.94
Total magnetic moment in μB/atom: 1.83
Energy relative to the elements in eV per formula unit: -0.387

=====

No. 3
Here is an optimized crystal structure of Ca2GdLu from Alexandria via LeMat-Bulk. Energies are from PBE.

Unit cell a=5.832 b=5.832 c=5.832 alpha=60.00 beta=60.00 gamma=60.00
Atoms (fractional coordinates):
Ca (0.250, 0.250, 0.250)
Ca (0.750, 0.750, 0.750)
Gd (0.000, 0.000, 0.000)
Lu (0.500, 0.500, 0.500)

Space-group type: Fm-3m, No. 225
Uncorrected energy in eV per cell: -21.8
Offset from the most stable computed form in meV per atom: 26
N(E_F) in states/eV/atom: 2.03
Total magnetic moment in μB/atom: 1.92
Energy relative to the elements in eV per formula unit: 0.782

=====

No. 4
Here is an optimized crystal structure of CaGd2Lu from Alexandria via LeMat-Bulk. Energies are from PBE.

Unit cell a=5.732 b=5.732 c=5.732 alpha=60.00 beta=60.00 gamma=60.00
Atoms (fractional coordinates):
Ca (0.000, 0.000, 0.000)
Gd (0.250, 0.250, 0.250)
Gd (0.750, 0.750, 0.750)
Lu (0.500, 0.500, 0.500)

Space-group type: Fm-3m, No. 225
Uncorrected energy in eV per cell: -34.1
Offset from the most stable computed form in meV per atom: 80
N(E_F) in states/eV/atom: 1.70
Total magnetic moment in μB/atom: 3.74
Energy relative to the elements in eV per formula unit: 0.549

=====

No. 5
Here is an optimized crystal structure of CaGd2Lu from Alexandria via LeMat-Bulk. Energies are from PBE.

Unit cell a=5.139 b=5.139 c=5.089 alpha=90.00 beta=90.00 gamma=90.00
Atoms (fractional coordinates):
Ca (0.000, 0.000, 0.000)
Gd (0.000, 0.500, 0.500)
Gd (0.500, 0.000, 0.500)
Lu (0.500, 0.500, 0.000)

Space-group type: P4/mmm, No. 123
Uncorrected energy in eV per cell: -34.2
Offset from the most stable computed form in meV per atom: 68
N(E_F) in states/eV/atom: 2.06
Total magnetic moment in μB/atom: 4.08
Energy relative to the elements in eV per formula unit: 0.502

=====

No. 6
Here is an optimized crystal structure of CaGd4Lu from Alexandria via LeMat-Bulk. Energies are from PBE.

Unit cell a=6.637 b=6.637 c=6.637 alpha=60.00 beta=60.00 gamma=60.00
Atoms (fractional coordinates):
Ca (0.000, 0.000, 0.000)
Gd (0.131, 0.623, 0.623)
Gd (0.623, 0.131, 0.623)
Gd (0.623, 0.623, 0.131)
Gd (0.623, 0.623, 0.623)
Lu (0.250, 0.250, 0.250)

Space-group type: F-43m, No. 216
Uncorrected energy in eV per cell: -61.5
N(E_F) in states/eV/atom: 1.74
Total magnetic moment in μB/atom: 4.92
Energy relative to the elements in eV per formula unit: 1.324

=====

No. 7
Here is an optimized crystal structure of Ca2GdLu from Alexandria via LeMat-Bulk. Energies are from PBE.

Unit cell a=5.117 b=5.117 c=5.444 alpha=90.00 beta=90.00 gamma=90.00
Atoms (fractional coordinates):
Ca (0.000, 0.500, 0.000)
Ca (0.500, 0.000, 0.000)
Gd (0.000, 0.000, 0.500)
Lu (0.500, 0.500, 0.500)

Space-group type: P4/mmm, No. 123
Uncorrected energy in eV per cell: -21.9
Offset from the most stable computed form in meV per atom: 0
N(E_F) in states/eV/atom: 1.99
Total magnetic moment in μB/atom: 2.22
Energy relative to the elements in eV per formula unit: 0.676

=====

No. 8
Here is an optimized crystal structure of Ca2GdLu from Alexandria via LeMat-Bulk. Energies are from PBE.

Unit cell a=3.631 b=3.631 c=10.815 alpha=90.00 beta=90.00 gamma=90.00
Atoms (fractional coordinates):
Ca (0.000, 0.000, 0.246)
Ca (0.000, 0.000, 0.754)
Gd (0.500, 0.500, 0.500)
Lu (0.500, 0.500, 0.000)

Space-group type: P4/mmm, No. 123
Uncorrected energy in eV per cell: -21.9
Offset from the most stable computed form in meV per atom: 2
N(E_F) in states/eV/atom: 2.07
Total magnetic moment in μB/atom: 2.14
Energy relative to the elements in eV per formula unit: 0.683

=====

Repeat the sixth record exactly.
Here is an optimized crystal structure of CaGd4Lu from Alexandria via LeMat-Bulk. Energies are from PBE.

Unit cell a=6.637 b=6.637 c=6.637 alpha=60.00 beta=60.00 gamma=60.00
Atoms (fractional coordinates):
Ca (0.000, 0.000, 0.000)
Gd (0.131, 0.623, 0.623)
Gd (0.623, 0.131, 0.623)
Gd (0.623, 0.623, 0.131)
Gd (0.623, 0.623, 0.623)
Lu (0.250, 0.250, 0.250)

Space-group type: F-43m, No. 216
Uncorrected energy in eV per cell: -61.5
N(E_F) in states/eV/atom: 1.74
Total magnetic moment in μB/atom: 4.92
Energy relative to the elements in eV per formula unit: 1.324